Entry from Alexandria via LeMat-Bulk: a relaxed structure of ZrTeOs2 (PBEsol).

Lattice parameters (Å, degrees): 3.0502 4.2398 5.7278 90.00 90.00 90.00
Positions (direct):
1 Os 0.5000 0.0000 0.7130
2 Os 0.5000 0.0000 0.2870
3 Te 0.5000 0.5000 0.0000
4 Zr 0.0000 0.5000 0.5000

Summary:
For the raw formation energy, the calculation gives 0.24 eV per atom. For the total energy, the calculation gives -9.0215 eV/atom. For the density of states at the Fermi level, the calculation gives 4.25 states/eV/cell.